(1)
The following is a PBE calculation of a relaxed structure of In3MoRh, from the Alexandria database.

Calculated values
Symmetry: No. 221
Volume, Å³/cell: 131
E_form, eV/atom: 0.699

Lattice parameters (Å, degrees): 5.075 5.075 5.075 90.00 90.00 90.00
Sites, in units of the cell vectors:
In1 0.000 0.000 0.500
In2 0.000 0.500 0.000
In3 0.500 0.000 0.000
Mo1 0.500 0.500 0.500
Rh1 0.000 0.000 0.000

=====

(2)
The following is a PBE calculation of a relaxed structure of Cs2Tm2PuS6, from the Alexandria database.

Calculated values
ΔE_f (raw), eV/atom: -1.742
Symmetry: No. 12
Volume, Å³/cell: 342

Lattice parameters (Å, degrees): 6.917 6.917 8.581 97.90 97.90 120.01
Sites, in units of the cell vectors:
Cs1 0.168 0.832 0.000
Cs2 0.832 0.168 0.000
Tm1 0.333 0.667 0.500
Tm2 0.667 0.333 0.500
Pu1 0.000 0.000 0.500
S1 0.059 0.390 0.675
S2 0.270 0.270 0.325
S3 0.390 0.059 0.675
S4 0.610 0.941 0.325
S5 0.730 0.730 0.675
S6 0.941 0.610 0.325

=====

(3)
The following is a PBE calculation of a relaxed structure of AcTm2Mg9, from the Alexandria database.

Calculated values
Symmetry: No. 166
Volume, Å³/cell: 316
E_form, eV/atom: -0.059

Lattice parameters (Å, degrees): 10.408 10.408 10.408 34.12 34.12 34.12
Sites, in units of the cell vectors:
Ac1 0.000 0.000 0.000
Tm1 0.146 0.146 0.146
Tm2 0.854 0.854 0.854
Mg1 0.080 0.589 0.589
Mg2 0.334 0.334 0.334
Mg3 0.411 0.411 0.920
Mg4 0.411 0.920 0.411
Mg5 0.500 0.500 0.500
Mg6 0.589 0.080 0.589
Mg7 0.589 0.589 0.080
Mg8 0.666 0.666 0.666
Mg9 0.920 0.411 0.411

=====

(4)
The following is a PBE calculation of a relaxed structure of HfFe3Ni, from the Alexandria database.

Calculated values
Symmetry: No. 221
Volume, Å³/cell: 79
E_form, eV/atom: 0.663

Lattice parameters (Å, degrees): 4.296 4.296 4.296 90.00 90.00 90.00
Sites, in units of the cell vectors:
Hf1 0.000 0.000 0.000
Fe1 0.000 0.500 0.500
Fe2 0.500 0.000 0.500
Fe3 0.500 0.500 0.000
Ni1 0.500 0.500 0.500

=====

(5)
The following is a PBE calculation of a relaxed structure of K2Ba2Ge, from the Alexandria database.

Calculated values
Symmetry: No. 127
Volume, Å³/cell: 591
E_form, eV/atom: 0.034

Lattice parameters (Å, degrees): 8.860 8.860 7.530 90.00 90.00 90.00
Sites, in units of the cell vectors:
K1 0.176 0.324 0.000
K2 0.324 0.824 0.000
K3 0.676 0.176 0.000
K4 0.824 0.676 0.000
Ba1 0.173 0.673 0.500
Ba2 0.327 0.173 0.500
Ba3 0.673 0.827 0.500
Ba4 0.827 0.327 0.500
Ge1 0.000 0.000 0.500
Ge2 0.500 0.500 0.500

=====

(6)
The following is a PBE calculation of a relaxed structure of ScBeMo2, from the Alexandria database.

Calculated values
Symmetry: No. 65
Volume, Å³/cell: 63
E_form, eV/atom: 0.319

Lattice parameters (Å, degrees): 5.090 5.090 2.705 90.00 90.00 116.19
Sites, in units of the cell vectors:
Sc1 0.000 0.000 0.000
Be1 0.500 0.500 0.000
Mo1 0.000 0.500 0.500
Mo2 0.500 0.000 0.500

=====

(7)
The following is a PBE calculation of a relaxed structure of Y4ThSc5, from the Alexandria database.

Calculated values
Symmetry: No. 107
Volume, Å³/cell: 293
E_form, eV/atom: 0.263

Lattice parameters (Å, degrees): 7.637 7.637 7.637 98.63 98.63 134.42
Sites, in units of the cell vectors:
Y1 0.000 0.319 0.319
Y2 0.000 0.681 0.681
Y3 0.319 0.000 0.319
Y4 0.681 0.000 0.681
Th1 0.264 0.264 0.000
Sc1 0.355 0.355 0.625
Sc2 0.355 0.730 0.000
Sc3 0.730 0.355 0.000
Sc4 0.730 0.730 0.375
Sc5 0.782 0.782 0.000

=====

(8)
The following is a PBE calculation of a relaxed structure of ZrTlSe2, from the Alexandria database.

Calculated values
ΔE_f (raw), eV/atom: -0.844
Symmetry: No. 15
Volume, Å³/cell: 1036

Lattice parameters (Å, degrees): 8.106 8.106 15.984 96.65 96.65 88.10
Sites, in units of the cell vectors:
Zr1 0.112 0.698 0.829
Zr2 0.302 0.888 0.671
Zr3 0.311 0.461 0.675
Zr4 0.461 0.311 0.175
Zr5 0.539 0.689 0.825
Zr6 0.689 0.539 0.325
Zr7 0.698 0.112 0.329
Zr8 0.888 0.302 0.171
Tl1 0.126 0.701 0.099
Tl2 0.151 0.335 0.398
Tl3 0.299 0.874 0.401
Tl4 0.335 0.151 0.898
Tl5 0.665 0.849 0.102
Tl6 0.701 0.126 0.599
Tl7 0.849 0.665 0.602
Tl8 0.874 0.299 0.901
Se1 0.034 0.422 0.735
Se2 0.041 0.959 0.750
Se3 0.149 0.305 0.084
Se4 0.230 0.646 0.550
Se5 0.305 0.149 0.584
Se6 0.354 0.770 0.950
Se7 0.397 0.603 0.250
Se8 0.422 0.034 0.235
Se9 0.578 0.966 0.765
Se10 0.603 0.397 0.750
Se11 0.646 0.230 0.050
Se12 0.695 0.851 0.416
Se13 0.770 0.354 0.450
Se14 0.851 0.695 0.916
Se15 0.959 0.041 0.250
Se16 0.966 0.578 0.265

=====

(9)
The following is a PBE calculation of a relaxed structure of K2Te2Br, from the Alexandria database.

Calculated values
ΔE_f (raw), eV/atom: -0.804
Symmetry: No. 139
Volume, Å³/cell: 218

Lattice parameters (Å, degrees): 6.770 6.770 6.770 120.40 120.40 89.30
Sites, in units of the cell vectors:
K1 0.250 0.750 0.500
K2 0.750 0.250 0.500
Te1 0.141 0.141 0.000
Te2 0.859 0.859 0.000
Br1 0.500 0.500 0.000

=====

(10)
The following is a PBE calculation of a relaxed structure of Pm8YTl6, from the Alexandria database.

Calculated values
Symmetry: No. 148
Volume, Å³/cell: 494
E_form, eV/atom: -0.166

Lattice parameters (Å, degrees): 8.512 8.512 8.512 66.18 66.18 66.18
Sites, in units of the cell vectors:
Pm1 0.053 0.724 0.390
Pm2 0.165 0.165 0.165
Pm3 0.276 0.610 0.947
Pm4 0.390 0.053 0.724
Pm5 0.610 0.947 0.276
Pm6 0.724 0.390 0.053
Pm7 0.835 0.835 0.835
Pm8 0.947 0.276 0.610
Y1 0.500 0.500 0.500
Tl1 0.112 0.441 0.768
Tl2 0.232 0.888 0.559
Tl3 0.441 0.768 0.112
Tl4 0.559 0.232 0.888
Tl5 0.768 0.112 0.441
Tl6 0.888 0.559 0.232

=====

(11)
The following is a PBE calculation of a relaxed structure of Mn2NbCrGa, from the Alexandria database.

Calculated values
Symmetry: No. 123
Volume, Å³/cell: 95
E_form, eV/atom: 1.897

Lattice parameters (Å, degrees): 4.394 4.394 4.896 90.00 90.00 90.00
Sites, in units of the cell vectors:
Mn1 0.000 0.500 0.000
Mn2 0.500 0.000 0.000
Nb1 0.000 0.000 0.000
Cr1 0.500 0.500 0.500
Ga1 0.000 0.000 0.500

=====

(12)
The following is a PBE calculation of a relaxed structure of BaMnSb2I, from the Alexandria database.

Calculated values
ΔE_f (raw), eV/atom: -0.243
Symmetry: No. 123
Volume, Å³/cell: 152

Lattice parameters (Å, degrees): 4.998 4.998 6.094 90.00 90.00 90.00
Sites, in units of the cell vectors:
Ba1 0.000 0.000 0.000
Mn1 0.500 0.500 0.500
Sb1 0.000 0.500 0.500
Sb2 0.500 0.000 0.500
I1 0.500 0.500 0.000

=====

(13)
The following is a PBE calculation of a relaxed structure of Ac4FeBi2, from the Alexandria database.

Calculated values
Symmetry: No. 139
Volume, Å³/cell: 253
E_form, eV/atom: -0.458

Lattice parameters (Å, degrees): 9.853 9.853 9.853 148.98 148.98 44.44
Sites, in units of the cell vectors:
Ac1 0.000 0.500 0.500
Ac2 0.167 0.167 0.000
Ac3 0.500 0.000 0.500
Ac4 0.833 0.833 0.000
Fe1 0.000 0.000 0.000
Bi1 0.358 0.358 0.000
Bi2 0.642 0.642 0.000

=====

(14)
The following is a PBE calculation of a relaxed structure of Cd2C, from the Alexandria database.

Calculated values
Symmetry: No. 194
Volume, Å³/cell: 107
E_form, eV/atom: 1.358

Lattice parameters (Å, degrees): 3.938 3.938 8.003 90.00 90.00 120.00
Sites, in units of the cell vectors:
Cd1 0.000 0.000 0.000
Cd2 0.000 0.000 0.500
Cd3 0.333 0.667 0.250
Cd4 0.667 0.333 0.750
C1 0.333 0.667 0.750
C2 0.667 0.333 0.250

=====

(15)
The following is a PBE calculation of a relaxed structure of TbPrNiPt, from the Alexandria database.

Calculated values
Symmetry: No. 38
Volume, Å³/cell: 91
E_form, eV/atom: -0.773

Lattice parameters (Å, degrees): 4.467 5.550 5.550 41.36 90.00 90.00
Sites, in units of the cell vectors:
Tb1 0.000 0.000 0.000
Pr1 0.500 0.280 0.280
Ni1 0.500 0.557 0.557
Pt1 0.000 0.712 0.712

=====

(16)
The following is a PBE calculation of a relaxed structure of Ta2OsRu, from the Alexandria database.

Calculated values
Symmetry: No. 12
Volume, Å³/cell: 129
E_form, eV/atom: -0.319

Lattice parameters (Å, degrees): 5.528 5.528 4.604 94.90 94.90 67.19
Sites, in units of the cell vectors:
Ta1 0.118 0.618 0.737
Ta2 0.382 0.882 0.263
Ta3 0.618 0.118 0.737
Ta4 0.882 0.382 0.263
Os1 0.117 0.117 0.767
Os2 0.883 0.883 0.233
Ru1 0.387 0.387 0.227
Ru2 0.613 0.613 0.773

=====

(17)
The following is a PBE calculation of a relaxed structure of Nb5CS5, from the Alexandria database.

Calculated values
ΔE_f (raw), eV/atom: -0.749
Symmetry: No. 12
Volume, Å³/cell: 195

Lattice parameters (Å, degrees): 6.184 6.184 7.477 106.43 106.43 45.73
Sites, in units of the cell vectors:
Nb1 0.000 0.000 0.000
Nb2 0.375 0.375 0.169
Nb3 0.380 0.380 0.723
Nb4 0.620 0.620 0.277
Nb5 0.625 0.625 0.831
C1 0.500 0.500 0.000
S1 0.182 0.182 0.318
S2 0.183 0.183 0.854
S3 0.500 0.500 0.500
S4 0.817 0.817 0.146
S5 0.818 0.818 0.682

=====

(18)
The following is a PBE calculation of a relaxed structure of Ta2TiPtBr, from the Alexandria database.

Calculated values
ΔE_f (raw), eV/atom: 1.376
Symmetry: No. 123
Volume, Å³/cell: 106

Lattice parameters (Å, degrees): 4.808 4.808 4.604 90.00 90.00 90.00
Sites, in units of the cell vectors:
Ta1 0.000 0.500 0.000
Ta2 0.500 0.000 0.000
Ti1 0.000 0.000 0.000
Pt1 0.500 0.500 0.500
Br1 0.000 0.000 0.500

=====

(19)
The following is a PBE calculation of a relaxed structure of MnAuI3, from the Alexandria database.

Calculated values
ΔE_f (raw), eV/atom: 0.289
Symmetry: No. 221
Volume, Å³/cell: 171

Lattice parameters (Å, degrees): 5.546 5.546 5.546 90.00 90.00 90.00
Sites, in units of the cell vectors:
Mn1 0.000 0.000 0.000
Au1 0.500 0.500 0.500
I1 0.000 0.000 0.500
I2 0.000 0.500 0.000
I3 0.500 0.000 0.000

=====

(20)
The following is a PBE calculation of a relaxed structure of CrReBr3, from the Alexandria database.

Calculated values
ΔE_f (raw), eV/atom: 0.798
Symmetry: No. 221
Volume, Å³/cell: 139

Lattice parameters (Å, degrees): 5.179 5.179 5.179 90.00 90.00 90.00
Sites, in units of the cell vectors:
Cr1 0.000 0.000 0.000
Re1 0.500 0.500 0.500
Br1 0.000 0.500 0.500
Br2 0.500 0.000 0.500
Br3 0.500 0.500 0.000

=====

no.,N(E_F) (states/eV per atom)
1,0.5681
2,0.7202
3,0.8472
4,0.8803
5,0.5651
6,0.6784
7,1.8987
8,0.4172
9,0.6599
10,1.5912
11,1.8202
12,0.9757
13,0.8515
14,0.3337
15,0.6205
16,0.7817
17,0.5330
18,1.0722
19,0.4412
20,0.7454